Record 1
Ta3As (GGA-PBE, optimized geometry); formation energy = 0.219 eV/f.u.; volume = 17.7 A^3/atom; N(E_F) = 0.76 states/eV/atom
1.0
4.531 2.616 0.996
-4.531 2.616 0.996
0.000 -5.232 0.996
Ta As
3 1
Cartesian
-2.266 -1.308 0.996 Ta
-2.266 1.308 1.993 Ta
0.000 2.616 0.996 Ta
0.000 0.000 0.000 As

Record 2
TaAs2 (GGA-PBE, optimized geometry); formation energy = -0.841 eV/f.u.; volume = 19.2 A^3/atom; N(E_F) = 0.20 states/eV/atom
1.0
1.757 -6.677 0.000
1.757 6.677 0.000
0.000 0.000 4.898
Ta As
2 4
Cartesian
1.757 4.040 3.673 Ta
1.757 -4.040 1.224 Ta
1.757 4.640 1.224 As
1.757 0.559 1.224 As
1.757 -0.559 3.673 As
1.757 -4.640 3.673 As

> Which of these has the highest N(E_F)?

Ta3As

> Among the records above, which one has the lowest N(E_F)?

TaAs2

> What is the volume in the second record?

19.2 A^3/atom